# 1
VASP calculation (PBE-GGA) on a relaxed InAgSbAu crystal.

DOS(E_F)	0.3801	states/eV per atom
uncorrected formation energy	0.076	eV per atom

POSCAR file:
```
InAgSbAu
1.0
0.000 3.543 3.543
3.543 0.000 3.543
3.543 3.543 0.000
In Ag Sb Au
1 1 1 1
direct
0.000 0.000 0.000 In
0.250 0.250 0.250 Ag
0.500 0.500 0.500 Sb
0.750 0.750 0.750 Au
```

# 2
VASP calculation (PBE-GGA) on a relaxed In2AgSbAu5 crystal.

DOS(E_F)	0.2972	states/eV per atom
uncorrected formation energy	-0.059	eV per atom

POSCAR file:
```
In2AgSbAu5
1.0
2.061 -8.464 0.000
2.061 8.464 0.000
0.000 0.000 11.073
In Ag Sb Au
4 2 2 10
direct
0.114 0.886 0.500 In
0.122 0.878 0.176 In
0.878 0.122 0.676 In
0.886 0.114 0.000 In
0.254 0.746 0.795 Ag
0.746 0.254 0.295 Ag
0.407 0.593 0.267 Sb
0.593 0.407 0.767 Sb
0.091 0.909 0.929 Au
0.282 0.718 0.111 Au
0.286 0.714 0.472 Au
0.424 0.576 0.831 Au
0.491 0.509 0.564 Au
0.509 0.491 0.064 Au
0.576 0.424 0.331 Au
0.714 0.286 0.972 Au
0.718 0.282 0.611 Au
0.909 0.091 0.429 Au
```

# 3
VASP calculation (PBE-GGA) on a relaxed In2Ag7Sb2Au crystal.

DOS(E_F)	0.3843	states/eV per atom
uncorrected formation energy	0.070	eV per atom

POSCAR file:
```
In2Ag7Sb2Au
1.0
2.863 -2.864 0.000
2.863 2.864 0.000
-2.695 0.000 15.696
In Ag Sb Au
2 7 2 1
direct
0.133 0.133 0.277 In
0.867 0.867 0.723 In
0.000 0.000 0.000 Ag
0.065 0.565 0.138 Ag
0.228 0.228 0.459 Ag
0.435 0.935 0.862 Ag
0.565 0.065 0.138 Ag
0.772 0.772 0.541 Ag
0.935 0.435 0.862 Ag
0.324 0.324 0.637 Sb
0.676 0.676 0.363 Sb
0.500 0.500 0.000 Au
```

# 4
VASP calculation (PBE-GGA) on a relaxed In2AgSn2Au7 crystal.

DFT formation energy	-0.061	eV per atom
DOS(E_F)	0.3797	states/eV per atom

POSCAR file:
```
In2AgSn2Au7
1.0
2.868 -2.871 0.000
2.868 2.871 0.000
-1.534 0.000 15.898
In Ag Sn Au
2 1 2 7
direct
0.060 0.060 0.265 In
0.940 0.940 0.735 In
0.500 0.500 0.000 Ag
0.363 0.363 0.608 Sn
0.637 0.637 0.392 Sn
0.000 0.000 0.000 Au
0.031 0.530 0.139 Au
0.171 0.171 0.439 Au
0.470 0.969 0.861 Au
0.530 0.031 0.139 Au
0.829 0.829 0.561 Au
0.969 0.470 0.861 Au
```

# 5
VASP calculation (PBE-GGA) on a relaxed InAg2Sn2Au7 crystal.

DFT formation energy	-0.011	eV per atom
DOS(E_F)	0.3850	states/eV per atom

POSCAR file:
```
InAg2Sn2Au7
1.0
2.803 -2.789 0.000
2.803 2.789 0.000
-2.105 0.000 15.926
In Ag Sn Au
1 2 2 7
direct
0.000 0.000 0.000 In
0.397 0.397 0.718 Ag
0.603 0.603 0.282 Ag
0.133 0.133 0.369 Sn
0.867 0.867 0.631 Sn
0.056 0.556 0.150 Au
0.291 0.291 0.544 Au
0.444 0.944 0.850 Au
0.500 0.500 0.000 Au
0.556 0.056 0.150 Au
0.709 0.709 0.456 Au
0.944 0.444 0.850 Au
```

# 6
VASP calculation (PBE-GGA) on a relaxed In2Ag7Sn2Au crystal.

DFT formation energy	0.041	eV per atom
DOS(E_F)	0.3019	states/eV per atom

POSCAR file:
```
In2Ag7Sn2Au
1.0
3.142 -3.196 0.000
3.142 3.196 0.000
-0.023 0.000 12.549
In Ag Sn Au
2 7 2 1
direct
0.000 0.000 0.192 In
0.000 0.000 0.808 In
0.000 0.000 0.500 Ag
0.000 0.499 0.354 Ag
0.000 0.501 0.646 Ag
0.248 0.248 0.000 Ag
0.499 0.000 0.354 Ag
0.501 0.000 0.646 Ag
0.752 0.752 0.000 Ag
0.500 0.500 0.194 Sn
0.500 0.500 0.806 Sn
0.500 0.500 0.500 Au
```

# 7
VASP calculation (PBE-GGA) on a relaxed Sr2In4Ag3Au crystal.

DFT formation energy	-0.331	eV per atom
DOS(E_F)	0.4770	states/eV per atom

POSCAR file:
```
Sr2In4Ag3Au
1.0
4.710 0.000 0.000
0.000 4.710 0.000
0.000 0.000 11.750
Sr In Ag Au
2 4 3 1
direct
0.000 0.500 0.245 Sr
0.500 0.000 0.755 Sr
0.000 0.000 0.500 In
0.000 0.500 0.873 In
0.500 0.000 0.127 In
0.500 0.500 0.500 In
0.000 0.000 0.000 Ag
0.000 0.500 0.639 Ag
0.500 0.000 0.361 Ag
0.500 0.500 0.000 Au
```

# 8
VASP calculation (PBE-GGA) on a relaxed SrIn2AgAu crystal.

DFT formation energy	-0.061	eV per atom
DOS(E_F)	0.5534	states/eV per atom

POSCAR file:
```
SrIn2AgAu
1.0
5.259 0.000 0.000
0.000 5.259 0.000
0.000 0.000 5.337
Sr In Ag Au
1 2 1 1
direct
0.000 0.000 0.000 Sr
0.000 0.500 0.500 In
0.500 0.000 0.500 In
0.500 0.500 0.500 Ag
0.500 0.500 0.000 Au
```

# 9
VASP calculation (PBE-GGA) on a relaxed Sr2In4AgAu3 crystal.

DFT formation energy	-0.472	eV per atom
DOS(E_F)	0.4329	states/eV per atom

POSCAR file:
```
Sr2In4AgAu3
1.0
4.704 0.000 0.000
0.000 4.704 0.000
0.000 0.000 11.636
Sr In Ag Au
2 4 1 3
direct
0.000 0.500 0.248 Sr
0.500 0.000 0.752 Sr
0.000 0.000 0.500 In
0.000 0.500 0.872 In
0.500 0.000 0.128 In
0.500 0.500 0.500 In
0.500 0.500 0.000 Ag
0.000 0.000 0.000 Au
0.000 0.500 0.638 Au
0.500 0.000 0.362 Au
```

# 10
VASP calculation (PBE-GGA) on a relaxed SrInAgAu crystal.

DFT formation energy	-0.424	eV per atom
DOS(E_F)	0.4094	states/eV per atom

POSCAR file:
```
SrInAgAu
1.0
4.195 -2.419 0.000
4.195 2.419 0.000
-2.813 0.000 5.149
Sr In Ag Au
1 1 1 1
direct
0.000 0.000 0.000 Sr
0.497 0.497 0.491 In
0.209 0.209 0.628 Ag
0.789 0.789 0.369 Au
```

# 11
VASP calculation (PBE-GGA) on a relaxed SrInAg2Au crystal.

DFT formation energy	-0.356	eV per atom
DOS(E_F)	0.4472	states/eV per atom

POSCAR file:
```
SrInAg2Au
1.0
-2.063 2.285 6.497
2.063 -2.285 6.497
2.063 2.285 -6.497
Sr In Ag Au
1 1 2 1
direct
0.000 0.000 0.000 Sr
0.251 0.751 0.500 In
0.616 0.616 0.000 Ag
0.768 0.268 0.500 Ag
0.405 0.405 0.000 Au
```

# 12
VASP calculation (PBE-GGA) on a relaxed SrIn2AgAu2 crystal.

DFT formation energy	-0.161	eV per atom
DOS(E_F)	0.5531	states/eV per atom

POSCAR file:
```
SrIn2AgAu2
1.0
-2.319 2.319 8.338
2.319 -2.319 8.338
2.319 2.319 -8.338
Sr In Ag Au
1 2 1 2
direct
0.000 0.000 0.000 Sr
0.250 0.750 0.500 In
0.750 0.250 0.500 In
0.500 0.500 0.000 Ag
0.343 0.343 0.000 Au
0.657 0.657 0.000 Au
```